A plane-wave DFT calculation with PBE with a Hubbard U was carried out for a geometry-optimized ZrMoO2 structure.

a b c (Å): 4.108 4.108 12.949
angles (deg): 90.00 90.00 90.00
Space group I-42d (No. 122)
Unique sites:
Zr 0.000 0.000 0.000 x4
Mo 0.000 0.000 0.500 x4
O 0.234 0.250 0.625 x8

As for the crystal system: tetragonal. Its electronic total energy is -7.6487 eV per atom.